LaMnGeF2 after structural relaxation. Source: Alexandria, functional GGA+U.

Cell: 4.4276 4.4276 7.2253 Å, 90.00 90.00 90.00°
Closest atoms and distances in Å follow each position.
Positions (direct):
1 La 0.0000 0.0000 0.0000  4 F 2.21
2 Mn 0.0000 0.0000 0.5000  4 Ge 3.13
3 Ge 0.5000 0.5000 0.5000  4 Mn 3.13
4 F 0.0000 0.5000 0.0000  2 La 2.21
5 F 0.5000 0.0000 0.0000  2 La 2.21

## Properties
**VASP energy**: -5.76 eV per atom
**Theoretical density**: 3.57 g cm⁻³
**Space group**: No. 123
**D(E_F)**: 1.799 states/eV per cell